[1]
VASP calculation (GGA-PBE) on a relaxed AcPmPuGa crystal.

Properties
Energy of formation, kJ/mol of atoms: 12.4
D(E_F), states/eV/f.u.: 13.376
Magnetization, μB/atom: 1.736
E_tot, eV/cell: -25.7

Unit cell a=5.497 b=5.497 c=5.497 alpha=60.00 beta=60.00 gamma=60.00
Positions (direct):
Ac  0.000  0.000  0.000
Pm  0.250  0.250  0.250
Pu  0.750  0.750  0.750
Ga  0.500  0.500  0.500

***

[2]
VASP calculation (GGA-PBE) on a relaxed SrMo2Br crystal.

Properties
Formation energy (no corrections), eV/atom: 1.168
D(E_F), states/eV/f.u.: 6.224
Magnetization, μB/atom: 0.000
E above lowest polymorph, eV per atom: 1.0844
E_tot, eV/cell: -20.3

Unit cell a=10.027 b=10.027 c=10.027 alpha=17.82 beta=17.82 gamma=17.82
Positions (direct):
Sr  0.000  0.000  0.000
Mo  0.238  0.238  0.238
Mo  0.762  0.762  0.762
Br  0.500  0.500  0.500

***

[3]
VASP calculation (GGA-PBE) on a relaxed Zr2NbC crystal.

Properties
Energy of formation, kJ/mol of atoms: -4.8
D(E_F), states/eV/f.u.: 2.904
Magnetization, μB/atom: 0.144
E_tot, eV/cell: -36.6

Unit cell a=8.481 b=8.481 c=8.481 alpha=21.85 beta=21.85 gamma=21.85
Positions (direct):
Zr  0.114  0.114  0.114
Zr  0.886  0.886  0.886
Nb  0.000  0.000  0.000
C  0.500  0.500  0.500